(1)
A plane-wave DFT calculation with PBE was carried out for a relaxed Rb3Ho2PuO6 crystal.

Cell lengths 6.1260, 6.1260, 6.8682 Å; angles 98.55, 98.55, 120.00 degrees
With the nearest neighbours (Å) after each atom.
Element x y z (fractional)
Rb1 0.0000 0.0000 0.0000  6 O 2.92-2.96
Rb2 0.3325 0.6675 0.0000  6 O 2.91-2.97
Rb3 0.6675 0.3325 0.0000  6 O 2.91-2.97
Ho1 0.1666 0.8334 0.5000  6 O 2.32-2.33
Ho2 0.8334 0.1666 0.5000  6 O 2.32-2.33
Pu1 0.5000 0.5000 0.5000  6 O 2.38
O1 0.1011 0.4415 0.3245  2 Ho 2.33, 1 Pu 2.38
O2 0.2180 0.2180 0.6754  2 Ho 2.32, 1 Pu 2.38
O3 0.4415 0.1011 0.3245  2 Ho 2.33, 1 Pu 2.38
O4 0.5585 0.8989 0.6755  2 Ho 2.33, 1 Pu 2.38
O5 0.7820 0.7820 0.3246  2 Ho 2.32, 1 Pu 2.38
O6 0.8989 0.5585 0.6755  2 Ho 2.33, 1 Pu 2.38

The value obtained for the electronic total energy is -0.26594 hartree per atom. As for the size of the total moment: 5.000 μB per formula unit. The calculation puts the uncorrected formation energy at -246.8 kJ per mole of atoms. As for the space-group type: C2/m, No. 12.

(2)
A plane-wave DFT calculation with PBE was carried out for a relaxed PmDy2ScTe6 crystal.

Cell lengths 8.2599, 8.2599, 8.2599 Å; angles 55.14, 55.14, 55.14 degrees
With the nearest neighbours (Å) after each atom.
Element x y z (fractional)
Pm1 0.0000 0.0000 0.0000  6 Te 3.12-3.18
Dy1 0.3117 0.3117 0.3117  6 Te 3.08-3.10
Dy2 0.8144 0.8144 0.8144  6 Te 3.05-3.11
Sc1 0.4969 0.4969 0.4969  6 Te 2.95-2.97
Te1 0.1029 0.7125 0.4121  1 Sc 2.97, 2 Dy 3.05-3.10, 1 Pm 3.12
Te2 0.2351 0.5881 0.8907  1 Sc 2.95, 2 Dy 3.08-3.11, 1 Pm 3.18
Te3 0.4121 0.1029 0.7125  1 Sc 2.97, 2 Dy 3.05-3.10, 1 Pm 3.12
Te4 0.5881 0.8907 0.2351  1 Sc 2.95, 2 Dy 3.08-3.11, 1 Pm 3.18
Te5 0.7125 0.4121 0.1029  1 Sc 2.97, 2 Dy 3.05-3.10, 1 Pm 3.12
Te6 0.8907 0.2351 0.5881  1 Sc 2.95, 2 Dy 3.08-3.11, 1 Pm 3.18

The value obtained for the electronic total energy is -0.19209 hartree per atom. As for the size of the total moment: 0.000 μB per formula unit. The calculation puts the uncorrected formation energy at -126.7 kJ per mole of atoms. As for the space-group type: R3, No. 146.

(3)
A plane-wave DFT calculation with PBE was carried out for a relaxed K2ZrTaCl crystal.

Cell lengths 7.0961, 7.0961, 4.8260 Å; angles 90.00, 90.00, 90.00 degrees
With the nearest neighbours (Å) after each atom.
Element x y z (fractional)
K1 0.0000 0.5000 0.0000  2 Zr 3.55
K2 0.5000 0.0000 0.0000  2 Zr 3.55
Zr1 0.0000 0.0000 0.0000  2 Cl 2.41
Ta1 0.5000 0.5000 0.5000  8 K 4.29
Cl1 0.0000 0.0000 0.5000  2 Zr 2.41

The value obtained for the electronic total energy is -0.12698 hartree per atom. As for the size of the total moment: 6.055 μB per formula unit. The calculation puts the uncorrected formation energy at 138.3 kJ per mole of atoms. As for the space-group type: P4/mmm, No. 123.

(4)
A plane-wave DFT calculation with PBE was carried out for a relaxed InTeF3 crystal.

Cell lengths 4.7390, 4.7390, 4.7390 Å; angles 90.00, 90.00, 90.00 degrees
With the nearest neighbours (Å) after each atom.
Element x y z (fractional)
In1 0.0000 0.0000 0.0000  12 F 3.35
Te1 0.5000 0.5000 0.5000  6 F 2.37
F1 0.0000 0.5000 0.5000  2 Te 2.37
F2 0.5000 0.0000 0.5000  2 Te 2.37
F3 0.5000 0.5000 0.0000  2 Te 2.37

The value obtained for the electronic total energy is -0.13106 hartree per atom. As for the size of the total moment: 0.000 μB per formula unit. The calculation puts the uncorrected formation energy at -122.3 kJ per mole of atoms. As for the space-group type: Pm-3m, No. 221.

(5)
A plane-wave DFT calculation with PBE was carried out for a relaxed TcOsAu crystal.

Cell lengths 3.6547, 3.6547, 5.7648 Å; angles 96.11, 96.11, 44.21 degrees
With the nearest neighbours (Å) after each atom.
Element x y z (fractional)
Tc1 0.0000 0.0000 0.0000  1 Os 2.24
Os1 0.2785 0.2785 0.2506  1 Tc 2.24
Au1 0.6382 0.6382 0.6242  2 Au 2.75, 3 Os 2.81-3.06, 3 Tc 2.82-3.08

The energy of formation from the pure elements comes out at 0.5694 eV/atom. The value obtained for the electronic total energy is -0.28377 hartree per atom. As for the size of the total moment: 0.000 μB per formula unit. As for the space-group type: Cm, No. 8.

(6)
A plane-wave DFT calculation with PBE was carried out for a relaxed GdPuMn4 crystal.

Cell lengths 5.0589, 5.0589, 5.0589 Å; angles 60.00, 60.00, 60.00 degrees
With the nearest neighbours (Å) after each atom.
Element x y z (fractional)
Gd1 0.0000 0.0000 0.0000  12 Mn 2.97, 4 Pu 3.10
Pu1 0.7500 0.7500 0.7500  12 Mn 2.96, 4 Gd 3.10
Mn1 0.3757 0.3757 0.3757  6 Mn 2.51-2.54
Mn2 0.3757 0.3757 0.8728  6 Mn 2.51-2.54
Mn3 0.3757 0.8728 0.3757  6 Mn 2.51-2.54
Mn4 0.8728 0.3757 0.3757  6 Mn 2.51-2.54

The energy of formation from the pure elements comes out at 0.2031 eV/atom. The value obtained for the electronic total energy is -0.39121 hartree per atom. As for the size of the total moment: 0.121 μB per formula unit. As for the space-group type: F-43m, No. 216.

(7)
A plane-wave DFT calculation with PBE was carried out for a relaxed CrIr2Pt crystal.

Cell lengths 4.3858, 4.3858, 4.3858 Å; angles 60.00, 60.00, 60.00 degrees
With the nearest neighbours (Å) after each atom.
Element x y z (fractional)
Cr1 0.0000 0.0000 0.0000  4 Pt 2.69, 4 Ir 2.69
Ir1 0.2500 0.2500 0.2500  4 Cr 2.69, 4 Ir 2.69
Ir2 0.5000 0.5000 0.5000  4 Pt 2.69, 4 Ir 2.69
Pt1 0.7500 0.7500 0.7500  4 Cr 2.69, 4 Ir 2.69

The energy of formation from the pure elements comes out at 0.3008 eV/atom. The value obtained for the electronic total energy is -0.29568 hartree per atom. As for the size of the total moment: 1.253 μB per formula unit. As for the space-group type: F-43m, No. 216.

(8)
A plane-wave DFT calculation with PBE was carried out for a relaxed Ac2CdHg4 crystal.

Cell lengths 9.2850, 9.2850, 9.2850 Å; angles 146.89, 146.89, 47.53 degrees
With the nearest neighbours (Å) after each atom.
Element x y z (fractional)
Ac1 0.1332 0.1332 0.0000  5 Hg 3.23-3.48
Ac2 0.8668 0.8668 0.0000  5 Hg 3.23-3.48
Cd1 0.5000 0.5000 0.0000  4 Hg 2.65
Hg1 0.0000 0.5000 0.5000  2 Cd 2.65
Hg2 0.3235 0.3235 0.0000  1 Cd 3.00, 1 Ac 3.23
Hg3 0.5000 0.0000 0.5000  2 Cd 2.65
Hg4 0.6765 0.6765 0.0000  1 Cd 3.00, 1 Ac 3.23

The energy of formation from the pure elements comes out at -0.1178 eV/atom. The value obtained for the electronic total energy is -0.05861 hartree per atom. As for the size of the total moment: 0.000 μB per formula unit. As for the space-group type: I4/mmm, No. 139.

(9)
A plane-wave DFT calculation with PBE was carried out for a relaxed PrGa2 crystal.

Cell lengths 4.2953, 4.2953, 4.3478 Å; angles 90.00, 90.00, 120.00 degrees
With the nearest neighbours (Å) after each atom.
Element x y z (fractional)
Pr1 0.0000 0.0000 0.0000  12 Ga 3.30
Ga1 0.3333 0.6667 0.5000  3 Ga 2.48
Ga2 0.6667 0.3333 0.5000  3 Ga 2.48

The energy of formation from the pure elements comes out at -0.6946 eV/atom. The value obtained for the electronic total energy is -0.15823 hartree per atom. As for the size of the total moment: 0.000 μB per formula unit. As for the space-group type: P6/mmm, No. 191.

(10)
A plane-wave DFT calculation with PBE was carried out for a relaxed CsNdOF2 crystal.

Cell lengths 4.7791, 4.7791, 4.5786 Å; angles 90.00, 90.00, 90.00 degrees
With the nearest neighbours (Å) after each atom.
Element x y z (fractional)
Cs1 0.0000 0.0000 0.0000  8 F 3.31, 4 O 3.38
Nd1 0.5000 0.5000 0.5000  2 O 2.29, 4 F 2.39
O1 0.5000 0.5000 0.0000  2 Nd 2.29
F1 0.0000 0.5000 0.5000  2 Nd 2.39
F2 0.5000 0.0000 0.5000  2 Nd 2.39

The value obtained for the electronic total energy is -0.22190 hartree per atom. As for the size of the total moment: 0.000 μB per formula unit. The calculation puts the uncorrected formation energy at -306.2 kJ per mole of atoms. As for the space-group type: P4/mmm, No. 123.

(11)
A plane-wave DFT calculation with PBE was carried out for a relaxed ZnSeO4 crystal.

Cell lengths 5.3433, 5.3433, 5.3433 Å; angles 120.59, 120.59, 88.99 degrees
With the nearest neighbours (Å) after each atom.
Element x y z (fractional)
Zn1 0.0000 0.0000 0.0000  4 O 1.97
Se1 0.2500 0.7500 0.5000  4 O 1.68
O1 0.1558 0.7180 0.1314  1 Se 1.68
O2 0.2820 0.4135 0.4379  1 Se 1.68
O3 0.5865 0.0244 0.8686  1 Se 1.68
O4 0.9756 0.8442 0.5621  1 Se 1.68

The value obtained for the electronic total energy is -0.18393 hartree per atom. As for the size of the total moment: 0.000 μB per formula unit. The calculation puts the uncorrected formation energy at -87.4 kJ per mole of atoms. As for the space-group type: I-4, No. 82.

(12)
A plane-wave DFT calculation with PBE was carried out for a relaxed ZrScSn2 crystal.

Cell lengths 5.0748, 5.0748, 5.0748 Å; angles 60.00, 60.00, 60.00 degrees
With the nearest neighbours (Å) after each atom.
Element x y z (fractional)
Zr1 0.0000 0.0000 0.0000  8 Sn 3.11
Sc1 0.5000 0.5000 0.5000  8 Sn 3.11
Sn1 0.2500 0.2500 0.2500  4 Zr 3.11, 4 Sc 3.11
Sn2 0.7500 0.7500 0.7500  4 Sc 3.11, 4 Zr 3.11

The energy of formation from the pure elements comes out at -0.3240 eV/atom. The value obtained for the electronic total energy is -0.22216 hartree per atom. As for the size of the total moment: 1.645 μB per formula unit. As for the space-group type: Fm-3m, No. 225.